Nd2Dy8Ga | Alexandria via LeMat-Bulk | GGA-PBE | optimized geometry; SG = No. 71; formation energy = -0.21 eV/f.u.
1.0
-2.7202 3.7147 8.6049
2.7202 -3.7147 8.6049
2.7202 3.7147 -8.6049
Nd Dy Ga
2 8 1
direct
0.1920 0.1920 0.0000
0.8080 0.8080 0.0000
0.1085 0.3691 0.7394
0.2570 0.0000 0.2570
0.3173 0.8173 0.5000
0.3702 0.6309 0.7394
0.6298 0.3691 0.2606
0.6827 0.1827 0.5000
0.7430 0.0000 0.7430
0.8915 0.6309 0.2606
0.5000 0.5000 0.0000